# KBa2VF8 (PBE with a Hubbard U, optimized geometry)
data_KBa2VF8
_chemical_formula_sum 'K1 Ba2 V1 F8'
_cell_length_a 4.544
_cell_length_b 5.753
_cell_length_c 8.404
_cell_angle_alpha 90.01
_cell_angle_beta 90.00
_cell_angle_gamma 98.75
_symmetry_space_group_name_H-M 'P 1'
_symmetry_Int_Tables_number 1
loop_
_symmetry_equiv_pos_as_xyz
'x,y,z'
loop_
_atom_site_label
_atom_site_fract_x
_atom_site_fract_y
_atom_site_fract_z
K1 0.000 0.000 0.500
Ba1 0.500 0.500 0.756
Ba2 0.500 0.500 0.244
V1 0.000 0.000 0.000
F1 0.066 0.779 0.181
F2 0.609 0.801 0.000
F3 0.934 0.222 0.181
F4 0.934 0.221 0.819
F5 0.391 0.199 0.000
F6 0.066 0.778 0.819
F7 0.454 0.737 0.500
F8 0.546 0.263 0.500
# Final energy = -67.3 eV per cell